Below is crystalline Sc2VMoO6 at its relaxed geometry, with properties calculated at the PBE with a Hubbard U level.

Properties
The total energy is -8.37 eV per atom. Its density of states at the Fermi level is 0.000 states/eV/atom. The space-group type is R3.

Unit cell a=5.711 b=5.711 c=5.711 alpha=55.70 beta=55.70 gamma=55.70
Fractional coordinates of all 10 atoms:
Sc: 0.000 0.000 0.000
Sc: 0.499 0.499 0.499
V: 0.705 0.705 0.705
Mo: 0.206 0.206 0.206
O: 0.096 0.420 0.803
O: 0.314 0.902 0.611
O: 0.420 0.803 0.096
O: 0.611 0.314 0.902
O: 0.803 0.096 0.420
O: 0.902 0.611 0.314